[1]
A plane-wave DFT calculation with PBE was carried out for TbSm8Sn6 after structural relaxation.

a = 8.454 Å, b = 8.454 Å, c = 8.454 Å
α = 66.12°, β = 66.12°, γ = 66.12°
Positions (direct):
Tb 0.000 0.000 0.000
Sm 0.104 0.770 0.440
Sm 0.230 0.560 0.896
Sm 0.334 0.334 0.334
Sm 0.440 0.104 0.770
Sm 0.560 0.896 0.230
Sm 0.666 0.666 0.666
Sm 0.770 0.440 0.104
Sm 0.896 0.230 0.560
Sn 0.067 0.398 0.736
Sn 0.264 0.933 0.602
Sn 0.398 0.736 0.067
Sn 0.602 0.264 0.933
Sn 0.736 0.067 0.398
Sn 0.933 0.602 0.264

Results
Space group: R-3 (148)
Calculated formation energy: -0.56 eV/atom
Crystal system: trigonal
N(E_F): 0.631 states/eV/atom

---

[2]
A plane-wave DFT calculation with PBE was carried out for TbSmSn6 after structural relaxation.

a = 4.708 Å, b = 4.708 Å, c = 9.592 Å
α = 90.00°, β = 90.00°, γ = 90.00°
Positions (direct):
Tb 0.000 0.000 0.000
Sm 0.000 0.000 0.500
Sn 0.000 0.500 0.247
Sn 0.000 0.500 0.753
Sn 0.500 0.000 0.247
Sn 0.500 0.000 0.753
Sn 0.500 0.500 0.000
Sn 0.500 0.500 0.500

Results
Space group: P4/mmm (123)
Calculated formation energy: -0.46 eV/atom
Crystal system: tetragonal
N(E_F): 0.679 states/eV/atom

---

- What is the calculated formation energy in the second record?
  -0.46 eV/atom

---

What did the first record say?
A plane-wave DFT calculation with PBE was carried out for TbSm8Sn6 after structural relaxation.

a = 8.454 Å, b = 8.454 Å, c = 8.454 Å
α = 66.12°, β = 66.12°, γ = 66.12°
Positions (direct):
Tb 0.000 0.000 0.000
Sm 0.104 0.770 0.440
Sm 0.230 0.560 0.896
Sm 0.334 0.334 0.334
Sm 0.440 0.104 0.770
Sm 0.560 0.896 0.230
Sm 0.666 0.666 0.666
Sm 0.770 0.440 0.104
Sm 0.896 0.230 0.560
Sn 0.067 0.398 0.736
Sn 0.264 0.933 0.602
Sn 0.398 0.736 0.067
Sn 0.602 0.264 0.933
Sn 0.736 0.067 0.398
Sn 0.933 0.602 0.264

Results
Space group: R-3 (148)
Calculated formation energy: -0.56 eV/atom
Crystal system: trigonal
N(E_F): 0.631 states/eV/atom

---

- The highest N(E_F) belongs to which entry?
  TbSmSn6